(1)
This record from Alexandria via LeMat-Bulk describes a geometry-optimized MgHgTe2 structure. The functional is PBE.

It has space group C2/m (No. 12), with a = 6.627 Å, b = 8.493 Å, c = 4.457 Å, α = 90.00°, β = 114.38° and γ = 90.00°. The distinct sites, in fractional coordinates, are Mg at (0.000, 0.000, 0.000), Hg at (0.000, 0.500, 0.000) and Te at (0.250, 0.250, 0.500).

Its uncorrected formation energy is -0.182 eV/atom. The calculation puts the energy relative to the lowest polymorph listed for this composition at 331 meV per atom.

(2)
This record from Alexandria via LeMat-Bulk describes a geometry-optimized MgHgTe2 structure. The functional is PBE.

It has space group P2/m (No. 10), with a = 4.910 Å, b = 3.891 Å, c = 5.958 Å, α = 90.00°, β = 101.47° and γ = 90.00°. The distinct sites, in fractional coordinates, are Mg at (0.000, 0.000, 0.000), Hg at (0.500, 0.500, 0.000), Te at (0.000, 0.500, 0.500) and Te at (0.500, 0.000, 0.500).

Its uncorrected formation energy is -0.010 eV/atom. The calculation puts the energy relative to the lowest polymorph listed for this composition at 503 meV per atom.

(3)
This record from Alexandria via LeMat-Bulk describes a geometry-optimized MgHgTe2 structure. The functional is PBE.

It has space group Cmmm (No. 65), with a = 4.177 Å, b = 5.383 Å, c = 10.846 Å, α = 90.00°, β = 90.00° and γ = 90.00°. The distinct sites, in fractional coordinates, are Mg at (0.000, 0.000, 0.000), Hg at (0.000, 0.000, 0.500) and Te at (0.000, 0.500, 0.190).

Its uncorrected formation energy is -0.192 eV/atom. The calculation puts the energy relative to the lowest polymorph listed for this composition at 321 meV per atom.

(4)
This record from Alexandria via LeMat-Bulk describes a geometry-optimized MgHgTe2 structure. The functional is PBE.

It has space group Pnma (No. 62), with a = 11.518 Å, b = 4.330 Å, c = 11.626 Å, α = 90.00°, β = 90.00° and γ = 90.00°. The distinct sites, in fractional coordinates, are Mg at (0.020, 0.250, 0.170), Hg at (0.202, 0.750, 0.424), Te at (0.011, 0.250, 0.678) and Te at (0.155, 0.750, 0.001).

Its uncorrected formation energy is -0.380 eV/atom. The calculation puts the energy relative to the lowest polymorph listed for this composition at 133 meV per atom.

(5)
This record from Alexandria via LeMat-Bulk describes a geometry-optimized MgHgTe2 structure. The functional is PBE.

It has space group P4/mmm (No. 123), with a = 4.298 Å, b = 4.298 Å, c = 6.064 Å, α = 90.00°, β = 90.00° and γ = 90.00°. The distinct sites, in fractional coordinates, are Mg at (0.000, 0.000, 0.000), Hg at (0.500, 0.500, 0.500), Te at (0.000, 0.000, 0.500) and Te at (0.500, 0.500, 0.000).

Its uncorrected formation energy is -0.393 eV/atom. The calculation puts the energy relative to the lowest polymorph listed for this composition at 120 meV per atom.

(6)
This record from Alexandria via LeMat-Bulk describes a geometry-optimized MgHgTe2 structure. The functional is PBE.

It has space group P2_1/c (No. 14), with a = 10.197 Å, b = 4.854 Å, c = 13.191 Å, α = 90.00°, β = 127.58° and γ = 90.00°. The distinct sites, in fractional coordinates, are Mg at (0.134, 0.227, 0.466), Hg at (0.367, 0.743, 0.171), Te at (0.060, 0.227, 0.147) and Te at (0.365, 0.196, 0.411).

Its uncorrected formation energy is -0.287 eV/atom. The calculation puts the energy relative to the lowest polymorph listed for this composition at 226 meV per atom.

(7)
This record from Alexandria via LeMat-Bulk describes a geometry-optimized MgHgTe2 structure. The functional is PBE.

It has space group I4/mcm (No. 140), with a = 7.610 Å, b = 7.610 Å, c = 7.671 Å, α = 90.00°, β = 90.00° and γ = 90.00°. The distinct sites, in fractional coordinates, are Mg at (0.000, 0.500, 0.250), Hg at (0.000, 0.000, 0.250) and Te at (0.199, 0.301, 0.000).

Its uncorrected formation energy is -0.192 eV/atom. The calculation puts the energy relative to the lowest polymorph listed for this composition at 321 meV per atom.

(8)
This record from Alexandria via LeMat-Bulk describes a geometry-optimized MgHgTe2 structure. The functional is PBE.

It has space group Immm (No. 71), with a = 3.909 Å, b = 5.355 Å, c = 10.725 Å, α = 90.00°, β = 90.00° and γ = 90.00°. The distinct sites, in fractional coordinates, are Mg at (0.000, 0.000, 0.000), Hg at (0.000, 0.000, 0.500) and Te at (0.000, 0.500, 0.297).

Its uncorrected formation energy is -0.114 eV/atom. The calculation puts the energy relative to the lowest polymorph listed for this composition at 399 meV per atom.